# 1
The following is a PBE with a Hubbard U calculation of LiFe2BrF after structural relaxation, from the Alexandria database.

Output
* uncorrected energy: -3.5711 eV/atom
* total magnetic moment: 6.94 μB per formula unit
* DOS at the Fermi energy: 1.4 states/eV/cell
* crystal system: tetragonal

a = 4.2287 Å, b = 4.2287 Å, c = 5.7282 Å
α = 90.00°, β = 90.00°, γ = 90.00°
Last column: nearest neighbours and their distance in Å.
Atoms (fractional coordinates):
Li: 0.0000 0.0000 0.0000  2 F 2.86, 4 Br 2.99
Fe: 0.0000 0.5000 0.5000  2 F 2.11
Fe: 0.5000 0.0000 0.5000  2 F 2.11
Br: 0.5000 0.5000 0.0000  4 Li 2.99
F: 0.0000 0.0000 0.5000  4 Fe 2.11


# 2
The following is a PBE with a Hubbard U calculation of NaFe2BrF after structural relaxation, from the Alexandria database.

Output
* uncorrected energy: -3.0184 eV/atom
* total magnetic moment: 6.69 μB per formula unit
* DOS at the Fermi energy: 1.7 states/eV/cell
* crystal system: tetragonal

a = 4.7971 Å, b = 4.7971 Å, c = 6.2026 Å
α = 90.00°, β = 90.00°, γ = 90.00°
Last column: nearest neighbours and their distance in Å.
Atoms (fractional coordinates):
Na: 0.0000 0.0000 0.0000  4 F 3.39
Fe: 0.0000 0.5000 0.5000  2 Br 2.40
Fe: 0.5000 0.0000 0.5000  2 Br 2.40
Br: 0.5000 0.5000 0.5000  4 Fe 2.40
F: 0.5000 0.5000 0.0000  2 Br 3.10, 4 Na 3.39


# 3
The following is a PBE with a Hubbard U calculation of NaFeBrF2 after structural relaxation, from the Alexandria database.

Output
* uncorrected energy: -4.2722 eV/atom
* total magnetic moment: 4.00 μB per formula unit
* DOS at the Fermi energy: 3.0 states/eV/cell
* energy above the most stable polymorph in this dataset: 0.227 eV/atom
* crystal system: tetragonal

a = 4.0852 Å, b = 4.0852 Å, c = 5.4990 Å
α = 90.00°, β = 90.00°, γ = 90.00°
Last column: nearest neighbours and their distance in Å.
Atoms (fractional coordinates):
Na: 0.0000 0.0000 0.0000  4 Br 2.89
Fe: 0.5000 0.5000 0.5000  4 F 2.04
Br: 0.5000 0.5000 0.0000  2 Fe 2.75, 4 Na 2.89
F: 0.0000 0.5000 0.5000  2 Fe 2.04
F: 0.5000 0.0000 0.5000  2 Fe 2.04


# 4
The following is a PBE with a Hubbard U calculation of NaFeBrF2 after structural relaxation, from the Alexandria database.

Output
* uncorrected energy: -4.4991 eV/atom
* total magnetic moment: 3.95 μB per formula unit
* DOS at the Fermi energy: 0.0 states/eV/cell
* energy above the most stable polymorph in this dataset: 0.000 eV/atom
* crystal system: monoclinic

a = 6.4407 Å, b = 3.8722 Å, c = 8.5787 Å
α = 90.00°, β = 99.10°, γ = 90.00°
Last column: nearest neighbours and their distance in Å.
Atoms (fractional coordinates):
Na: 0.2321 0.2500 0.0695  3 F 2.32-2.36
Na: 0.7679 0.7500 0.9305  3 F 2.32-2.36
Fe: 0.0415 0.2500 0.6624  3 F 2.00-2.06
Fe: 0.9585 0.7500 0.3376  3 F 2.00-2.06
Br: 0.4259 0.2500 0.7667  1 Fe 2.50
Br: 0.5741 0.7500 0.2333  1 Fe 2.50
F: 0.0444 0.2500 0.3996  3 Fe 2.06-2.26
F: 0.0645 0.7500 0.1305  1 Fe 2.00
F: 0.9355 0.2500 0.8695  1 Fe 2.00
F: 0.9556 0.7500 0.6004  3 Fe 2.06-2.26


# 5
The following is a PBE with a Hubbard U calculation of Fe2PdBrF after structural relaxation, from the Alexandria database.

Output
* uncorrected energy: -4.0253 eV/atom
* total magnetic moment: 7.69 μB per formula unit
* DOS at the Fermi energy: 1.4 states/eV/cell
* crystal system: tetragonal

a = 4.1305 Å, b = 4.1305 Å, c = 5.3048 Å
α = 90.00°, β = 90.00°, γ = 90.00°
Last column: nearest neighbours and their distance in Å.
Atoms (fractional coordinates):
Fe: 0.0000 0.5000 0.0000  2 F 2.07
Fe: 0.5000 0.0000 0.0000  2 F 2.07
Pd: 0.0000 0.0000 0.5000  4 Br 2.92
Br: 0.5000 0.5000 0.5000  2 F 2.65, 4 Pd 2.92
F: 0.5000 0.5000 0.0000  4 Fe 2.07


# 6
The following is a PBE with a Hubbard U calculation of FePdBrF2 after structural relaxation, from the Alexandria database.

Output
* uncorrected energy: -3.9483 eV/atom
* total magnetic moment: 4.20 μB per formula unit
* DOS at the Fermi energy: 2.0 states/eV/cell
* crystal system: tetragonal

a = 4.0996 Å, b = 4.0996 Å, c = 5.4468 Å
α = 90.00°, β = 90.00°, γ = 90.00°
Last column: nearest neighbours and their distance in Å.
Atoms (fractional coordinates):
Fe: 0.0000 0.0000 0.0000  2 Pd 2.72, 4 Br 2.90
Pd: 0.0000 0.0000 0.5000  4 F 2.05
Br: 0.5000 0.5000 0.0000  4 Fe 2.90
F: 0.0000 0.5000 0.5000  2 Pd 2.05
F: 0.5000 0.0000 0.5000  2 Pd 2.05


# 7
The following is a PBE with a Hubbard U calculation of Rb2FeBr6F after structural relaxation, from the Alexandria database.

Output
* uncorrected energy: -2.8659 eV/atom
* total magnetic moment: 3.01 μB per formula unit
* DOS at the Fermi energy: 3.3 states/eV/cell
* crystal system: tetragonal

a = 7.6741 Å, b = 7.6741 Å, c = 7.6741 Å
α = 123.01°, β = 123.01°, γ = 84.87°
Last column: nearest neighbours and their distance in Å.
Atoms (fractional coordinates):
Rb: 0.2500 0.7500 0.5000  12 Br 3.68-3.84
Rb: 0.7500 0.2500 0.5000  12 Br 3.68-3.84
Fe: 0.0000 0.0000 0.0000  6 Br 2.51-2.54
Br: 0.2214 0.2214 0.0000  1 Fe 2.51
Br: 0.2456 0.2456 0.4911  1 Fe 2.54, 1 F 2.63
Br: 0.2456 0.7544 0.0000  1 Fe 2.54, 1 F 2.63
Br: 0.7544 0.2456 0.0000  1 Fe 2.54, 1 F 2.63
Br: 0.7544 0.7544 0.5089  1 Fe 2.54, 1 F 2.63
Br: 0.7786 0.7786 0.0000  1 Fe 2.51
F: 0.5000 0.5000 0.0000  4 Br 2.63


# 8
The following is a PBE with a Hubbard U calculation of RbFeBrF2 after structural relaxation, from the Alexandria database.

Output
* uncorrected energy: -4.5168 eV/atom
* total magnetic moment: 4.00 μB per formula unit
* DOS at the Fermi energy: 0.0 states/eV/cell
* energy above the most stable polymorph in this dataset: 0.000 eV/atom
* crystal system: monoclinic

a = 7.6465 Å, b = 4.4047 Å, c = 8.3828 Å
α = 90.00°, β = 103.13°, γ = 90.00°
Last column: nearest neighbours and their distance in Å.
Atoms (fractional coordinates):
Rb: 0.2466 0.2500 0.3730  3 F 2.78-2.95
Rb: 0.7534 0.7500 0.6270  3 F 2.78-2.95
Fe: 0.4360 0.2500 0.8522  2 F 1.93-2.02
Fe: 0.5640 0.7500 0.1478  2 F 1.93-2.02
Br: 0.1037 0.2500 0.7536  1 Fe 2.49
Br: 0.8963 0.7500 0.2464  1 Fe 2.49
F: 0.4550 0.7500 0.3336  1 Fe 1.93
F: 0.4894 0.7500 0.9008  3 Fe 2.02-2.26
F: 0.5106 0.2500 0.0992  3 Fe 2.02-2.26
F: 0.5450 0.2500 0.6664  1 Fe 1.93


# 9
The following is a PBE with a Hubbard U calculation of RbFeBrF2 after structural relaxation, from the Alexandria database.

Output
* uncorrected energy: -4.1972 eV/atom
* total magnetic moment: 4.00 μB per formula unit
* DOS at the Fermi energy: 4.0 states/eV/cell
* energy above the most stable polymorph in this dataset: 0.320 eV/atom
* crystal system: tetragonal

a = 4.4239 Å, b = 4.4239 Å, c = 5.1729 Å
α = 90.00°, β = 90.00°, γ = 90.00°
Last column: nearest neighbours and their distance in Å.
Atoms (fractional coordinates):
Rb: 0.0000 0.0000 0.0000  4 Br 3.13, 8 F 3.40
Fe: 0.5000 0.5000 0.5000  4 F 2.21
Br: 0.5000 0.5000 0.0000  2 Fe 2.59
F: 0.0000 0.5000 0.5000  2 Fe 2.21
F: 0.5000 0.0000 0.5000  2 Fe 2.21


# 10
The following is a PBE with a Hubbard U calculation of FeSeBr2F after structural relaxation, from the Alexandria database.

Output
* uncorrected energy: -2.7860 eV/atom
* total magnetic moment: 2.13 μB per formula unit
* DOS at the Fermi energy: 7.8 states/eV/cell
* energy above the most stable polymorph in this dataset: 0.000 eV/atom
* crystal system: tetragonal

a = 5.0237 Å, b = 5.0237 Å, c = 5.2531 Å
α = 90.00°, β = 90.00°, γ = 90.00°
Last column: nearest neighbours and their distance in Å.
Atoms (fractional coordinates):
Fe: 0.0000 0.0000 0.0000  4 Br 2.51, 2 Se 2.63
Se: 0.0000 0.0000 0.5000  2 Fe 2.63
Br: 0.0000 0.5000 0.0000  2 Fe 2.51
Br: 0.5000 0.0000 0.0000  2 Fe 2.51
F: 0.5000 0.5000 0.5000  4 Se 3.55, 8 Br 3.63


# 11
The following is a PBE with a Hubbard U calculation of FeSeBr2F after structural relaxation, from the Alexandria database.

Output
* uncorrected energy: -2.6597 eV/atom
* total magnetic moment: 3.14 μB per formula unit
* DOS at the Fermi energy: 2.4 states/eV/cell
* energy above the most stable polymorph in this dataset: 0.126 eV/atom
* crystal system: tetragonal

a = 5.5678 Å, b = 5.5678 Å, c = 3.9209 Å
α = 90.00°, β = 90.00°, γ = 90.00°
Last column: nearest neighbours and their distance in Å.
Atoms (fractional coordinates):
Fe: 0.0000 0.0000 0.0000  8 Br 3.40
Se: 0.5000 0.5000 0.0000  2 F 1.96
Br: 0.0000 0.5000 0.5000  2 F 2.78
Br: 0.5000 0.0000 0.5000  2 F 2.78
F: 0.5000 0.5000 0.5000  2 Se 1.96


# 12
The following is a PBE with a Hubbard U calculation of FeSe2BrF after structural relaxation, from the Alexandria database.

Output
* uncorrected energy: -2.9639 eV/atom
* total magnetic moment: 6.24 μB per formula unit
* DOS at the Fermi energy: 5.5 states/eV/cell
* energy above the most stable polymorph in this dataset: 0.000 eV/atom
* crystal system: tetragonal

a = 4.9774 Å, b = 4.9774 Å, c = 5.0060 Å
α = 90.00°, β = 90.00°, γ = 90.00°
Last column: nearest neighbours and their distance in Å.
Atoms (fractional coordinates):
Fe: 0.0000 0.0000 0.0000  4 Se 2.49, 2 Br 2.50
Se: 0.0000 0.5000 0.0000  2 Fe 2.49
Se: 0.5000 0.0000 0.0000  2 Fe 2.49
Br: 0.0000 0.0000 0.5000  2 Fe 2.50
F: 0.5000 0.5000 0.5000  4 Br 3.52, 8 Se 3.53